The following is a DFT calculation (GGA-PBE) of a relaxed Ta2Co3Ru crystal.

Results
As for the symmetry: I4_1/amd, No. 141. The value obtained for the calculated formation energy is 122.2 meV/atom.

```
Ta2Co3Ru
1.0
-4.117 4.117 5.195
4.117 -4.117 5.195
4.117 4.117 -5.195
Ta Co Ru
8 12 4
Direct
0.266 0.332 0.566
0.266 0.699 0.934
0.301 0.734 0.566
0.332 0.266 0.066
0.668 0.734 0.934
0.699 0.266 0.434
0.734 0.301 0.066
0.734 0.668 0.434
0.000 0.500 0.500
0.105 0.355 0.209
0.105 0.895 0.750
0.355 0.105 0.709
0.355 0.645 0.250
0.500 0.000 0.000
0.500 0.500 0.000
0.500 0.500 0.500
0.645 0.355 0.750
0.645 0.895 0.291
0.895 0.105 0.250
0.895 0.645 0.791
0.054 0.304 0.750
0.304 0.054 0.250
0.696 0.946 0.750
0.946 0.696 0.250
```